{"formula": "MnTeF", "functional": "GGA+U", "state": "optimized geometry", "lattice": [[6.4059, 0.0000, 0.0000], [0.0000, 3.4945, 0.0000], [0.0000, -1.7473, 3.0263]], "species": ["F", "Te", "Mn"], "fractional_positions": [[0.2017, 0.3333, 0.6667], [0.7350, 0.6667, 0.3333], [0.0633, 0.0000, 0.0000]]}

{"formula": "MnTeF2", "functional": "GGA+U", "state": "optimized geometry", "e_above_lowest_polymorph_kcal_per_mol_atoms": 0.00, "lattice": [[8.0685, 1.5885, 5.2930], [7.6721, -1.6105, 5.8468], [9.2361, -0.5976, 3.1588]], "species": ["F", "F", "Te", "Mn"], "fractional_positions": [[0.1316, 0.1316, 0.1316], [0.8684, 0.8684, 0.8684], [0.0000, 0.0000, 0.0000], [0.5000, 0.5000, 0.5000]]}

{"formula": "MnTe2F", "functional": "GGA+U", "state": "optimized geometry", "e_above_lowest_polymorph_kcal_per_mol_atoms": 9.81, "lattice": [[1.8950, 0.0000, 9.7191], [-0.9475, 1.6411, 9.7191], [-0.9475, -1.6411, 9.7191]], "species": ["F", "Te", "Te", "Mn"], "fractional_positions": [[0.5000, 0.5000, 0.5000], [0.9055, 0.9055, 0.9055], [0.0945, 0.0945, 0.0945], [0.0000, 0.0000, 0.0000]]}

{"formula": "MnTeF2", "functional": "GGA+U", "state": "optimized geometry", "e_above_lowest_polymorph_kcal_per_mol_atoms": 22.14, "lattice": [[-1.3158, -4.2940, 0.6486], [-0.9782, -1.4663, 4.1813], [-4.2976, -0.9088, 1.1381]], "species": ["F", "F", "Mn", "Te"], "fractional_positions": [[0.7500, 0.7500, 0.7500], [0.2500, 0.2500, 0.2500], [0.0000, 0.0000, 0.0000], [0.5000, 0.5000, 0.5000]]}

{"formula": "MnTeF2", "functional": "GGA+U", "state": "optimized geometry", "e_above_lowest_polymorph_kcal_per_mol_atoms": 7.16, "lattice": [[6.4046, 0.0000, 0.0000], [0.0000, 6.4046, 0.0000], [3.2023, 3.2023, 4.2770]], "species": ["Te", "Te", "F", "F", "F", "F", "Mn", "Mn"], "fractional_positions": [[0.7500, 0.2500, 0.5000], [0.0000, 0.0000, 0.0000], [0.2936, 0.6250, 0.2500], [0.8750, 0.7064, 0.7500], [0.3750, 0.5436, 0.7500], [0.4564, 0.1250, 0.2500], [0.5000, 0.5000, 0.0000], [0.2500, 0.7500, 0.5000]]}

{"formula": "Mn3TeF", "functional": "GGA+U", "state": "optimized geometry", "e_above_lowest_polymorph_kcal_per_mol_atoms": 0.00, "lattice": [[-4.4613, 1.2990, -0.4830], [-0.8633, -1.3310, 4.3940], [1.0842, 4.2855, 1.5111]], "species": ["Mn", "Mn", "Mn", "Te", "F"], "fractional_positions": [[0.0000, 0.5000, 0.0000], [0.5000, 0.0000, 0.0000], [0.0000, 0.0000, 0.5000], [0.5000, 0.5000, 0.5000], [0.0000, 0.0000, 0.0000]]}

{"formula": "MnTe2F", "functional": "GGA+U", "state": "optimized geometry", "e_above_lowest_polymorph_kcal_per_mol_atoms": 0.00, "lattice": [[5.0797, 4.7390, 3.4746], [6.5083, 0.7897, 4.1657], [7.2675, 2.7061, 0.4419]], "species": ["Te", "Te", "F", "Mn"], "fractional_positions": [[0.8965, 0.8965, 0.8965], [0.1035, 0.1035, 0.1035], [0.0000, 0.0000, 0.0000], [0.5000, 0.5000, 0.5000]]}

{"formula": "MnTe2F", "functional": "GGA+U", "state": "optimized geometry", "e_above_lowest_polymorph_kcal_per_mol_atoms": 1.62, "lattice": [[4.3475, 0.0000, 0.0000], [0.0000, 4.3475, 0.0000], [2.1737, 2.1737, 10.1929]], "species": ["Te", "Te", "Te", "Te", "Mn", "Mn", "F", "F"], "fractional_positions": [[0.3750, 0.3736, 0.7500], [0.1236, 0.6250, 0.2500], [0.8750, 0.8764, 0.7500], [0.6264, 0.1250, 0.2500], [0.0000, 0.0000, 0.0000], [0.7500, 0.2500, 0.5000], [0.2500, 0.7500, 0.5000], [0.5000, 0.5000, 0.0000]]}

Computed Fermi-level density of states, in the same sequence as the records: 0.51, 1.37, 2.84, 0.80, 0.63, 3.25, 0.99, 2.29 states/eV/cell.
Computed DFT total energy, in the same sequence as the records: -16.25, -21.63, -16.03, -17.79, -20.39, -27.97, -17.74, -17.45 eV per formula unit.
Computed volume, in the same sequence as the records: 68, 89, 91, 66, 175, 102, 116, 193 Å³ per cell.